1.
DFT (PBE) results for a relaxed structure of HfCl4.

The structure in POSCAR format:
```
HfCl4
1.0
4.942 0.000 0.000
0.000 4.942 0.000
0.000 0.000 4.942
Hf Cl
1 4
Direct
0.000 0.000 0.000
0.000 0.000 0.500
0.000 0.500 0.000
0.500 0.000 0.000
0.500 0.500 0.500
```

Calculated values
- ρ (g cm⁻³) = 4.41
- magnetization (μB/f.u.) = 0.27
- E (eV/atom) = -4.651
- V (A^3/atom) = 24.142
- SG = Pm-3m, No. 221
- formation energy from raw total energies (eV/atom) = -1.183

2.
DFT (PBE) results for a relaxed structure of CrFe2Se.

The structure in POSCAR format:
```
CrFe2Se
1.0
1.544 -2.144 0.000
1.544 2.144 0.000
0.000 0.000 8.153
Cr Fe Se
1 2 1
Direct
0.000 0.000 0.000
0.500 0.500 0.228
0.500 0.500 0.772
0.000 0.000 0.500
```

Calculated values
- ρ (g cm⁻³) = 7.46
- magnetization (μB/f.u.) = 4.43
- E (eV/atom) = -7.061
- V (A^3/atom) = 13.495
- SG = Cmmm, No. 65
- formation energy from raw total energies (eV/atom) = 0.447
- energy relative to the lowest polymorph listed for this composition (eV per atom) = 0.255

3.
DFT (PBE) results for a relaxed structure of Ba2Pa2As5.

The structure in POSCAR format:
```
Ba2Pa2As5
1.0
8.069 -3.952 0.000
8.069 3.952 0.000
0.000 0.000 7.923
Ba Pa As
4 4 10
Direct
0.202 0.202 0.000
0.298 0.298 0.500
0.702 0.702 0.500
0.798 0.798 0.000
0.158 0.842 0.659
0.342 0.658 0.159
0.658 0.342 0.841
0.842 0.158 0.341
0.000 0.000 0.000
0.031 0.741 0.356
0.241 0.531 0.856
0.259 0.969 0.356
0.469 0.759 0.856
0.500 0.500 0.500
0.531 0.241 0.144
0.741 0.031 0.644
0.759 0.469 0.144
0.969 0.259 0.644
```

Calculated values
- ρ (g cm⁻³) = 7.30
- magnetization (μB/f.u.) = 0.00
- formation energy (eV per formula unit) = -9.11
- E (eV/atom) = -6.133
- V (A^3/atom) = 28.072
- SG = Cmce, No. 64

DOS at the Fermi energy? In order: 1.3138, 1.3268, 0.8871 states/eV/atom.